VASP calculation (PBE) on crystalline Pm2Sm3Tl2 at its relaxed geometry.

Cell lengths 3.7257, 5.3082, 22.5782 Å; angles 90.00, 90.00, 90.00 degrees
Closest atoms and distances in Å follow each position.
Space group Immm (No. 71)
One atom of each set of equivalent atoms:
Pm1 0.0000 0.0000 0.0727 (multiplicity 4)  2 Tl 3.18, 1 Pm 3.28, 2 Sm 3.48
Sm1 0.0000 0.0000 0.5000 (multiplicity 2)  8 Pm 3.63, 2 Sm 3.73, 4 Tl 3.88
Sm2 0.0000 0.5000 0.2971 (multiplicity 4)  5 Tl 3.31-3.45, 2 Pm 3.48
Tl1 0.0000 0.5000 0.1506 (multiplicity 4)  2 Pm 3.18, 5 Sm 3.31-3.45

Computed properties:
E_form   -0.1262 eV/atom
ρ   8.6 g cm⁻³
Relative energy among the computed polymorphs   81.0 meV/atom

***

VASP calculation (PBE) on crystalline K5Hg2S5 at its relaxed geometry.

Cell lengths 14.7021, 4.1723, 11.8678 Å; angles 90.00, 105.46, 90.00 degrees
Closest atoms and distances in Å follow each position.
Space group C2/m (No. 12)
One atom of each set of equivalent atoms:
K1 0.0000 0.0000 0.0000 (multiplicity 2)  4 S 3.21
K2 0.1587 0.0000 0.5683 (multiplicity 4)  3 S 3.07-3.19, 1 K 3.43
K3 0.2340 0.5000 0.1370 (multiplicity 4)  5 S 3.14-3.27, 1 K 3.43
Hg1 0.0375 0.5000 0.2896 (multiplicity 4)  4 S 2.51-2.70
S1 0.0000 0.5000 0.5000 (multiplicity 2)  2 Hg 2.70
S2 0.1092 0.5000 0.8773 (multiplicity 4)  1 Hg 2.51
S3 0.1517 0.0000 0.2972 (multiplicity 4)  2 Hg 2.66

Computed properties:
ρ   3.6 g cm⁻³
Formation energy (no corrections)   -0.72 eV/atom